{"formula": "Pm7Ga2Hg2", "functional": "PBE", "state": "relaxed", "formation_energy_mev_per_atom": -126, "final_energy_ev_per_atom": -3.754, "spacegroup": "Cmmm", "magmom_total_mub_per_cell": 0.0, "lattice": [[3.847, -5.461, 0.000], [3.847, 5.461, 0.000], [0.000, 0.000, 8.068]], "species": ["Pm", "Pm", "Pm", "Pm", "Pm", "Pm", "Pm", "Ga", "Ga", "Hg", "Hg"], "fractional_positions": [[0.000, 0.000, 0.000], [0.000, 0.500, 0.296], [0.000, 0.500, 0.704], [0.500, 0.000, 0.296], [0.500, 0.000, 0.704], [0.500, 0.500, 0.279], [0.500, 0.500, 0.721], [0.166, 0.166, 0.500], [0.834, 0.834, 0.500], [0.294, 0.706, 0.000], [0.706, 0.294, 0.000]]}